Record 1
K4Sc: relaxed, PBE.

POSCAR file:
```
K4Sc
1.0
7.196 0.000 0.000
0.000 7.196 0.000
0.000 0.000 7.196
K Sc
4 1
direct
0.000 0.000 0.000
0.000 0.500 0.500
0.500 0.000 0.500
0.500 0.500 0.000
0.500 0.500 0.500
```

Output
energy above the most stable polymorph in this dataset	49.4	meV/atom

---

Record 2
TbNdAl2: relaxed, PBE.

POSCAR file:
```
TbNdAl2
1.0
3.673 0.000 0.000
-1.836 3.181 0.000
0.000 0.000 27.867
Tb Nd Al
3 3 6
direct
0.000 0.000 0.000
0.333 0.667 0.667
0.667 0.333 0.333
0.000 0.000 0.500
0.333 0.667 0.167
0.667 0.333 0.833
0.000 0.000 0.252
0.000 0.000 0.748
0.333 0.667 0.415
0.333 0.667 0.919
0.667 0.333 0.081
0.667 0.333 0.585
```

Output
energy above the most stable polymorph in this dataset	252.3	meV/atom

---

Record 3
Ca2TlIn: relaxed, PBE.

POSCAR file:
```
Ca2TlIn
1.0
4.797 0.000 0.000
0.000 4.797 0.000
0.000 0.000 10.354
Ca Tl In
4 2 2
direct
0.000 0.000 0.000
0.000 0.500 0.250
0.500 0.000 0.750
0.500 0.500 0.500
0.000 0.000 0.500
0.500 0.500 0.000
0.000 0.500 0.750
0.500 0.000 0.250
```

Output
total DFT energy (no corrections)	-2.59	eV/atom

---

Record 4
Cs3RhCl5: relaxed, PBE.

POSCAR file:
```
Cs3RhCl5
1.0
-4.709 4.709 7.540
4.709 -4.709 7.540
4.709 4.709 -7.540
Cs Rh Cl
6 2 10
direct
0.165 0.665 0.829
0.250 0.250 0.000
0.335 0.165 0.500
0.665 0.835 0.500
0.750 0.750 0.000
0.835 0.335 0.171
0.250 0.750 0.500
0.750 0.250 0.500
0.000 0.000 0.000
0.010 0.797 0.500
0.203 0.703 0.214
0.297 0.510 0.500
0.490 0.990 0.786
0.500 0.500 0.000
0.510 0.010 0.214
0.703 0.490 0.500
0.797 0.297 0.786
0.990 0.203 0.500
```

Output
formation energy from raw total energies	-12.3	eV/f.u.

---

Looking at volume for the records above, in order, we have 74.513, 27.127, 29.781, 37.158 Å³/atom.